Below is a relaxed structure of LaMnAu2, with properties calculated at the PBEsol level.

The structure in POSCAR format:
```
LaMnAu2
1.0
-2.035 1.061 4.166
-4.219 -1.383 -1.706
0.646 -3.441 1.192
Au La Mn
2 1 1
Direct
0.500 0.000 0.000
0.000 0.500 0.000
0.000 0.000 0.500
0.500 0.500 0.500
```

## Properties
**M_tot**: 3.874 μB/cell
**Space group**: No. 123
**D(E_F)**: 0.619 states/eV/atom
**ΔH_f (0 K)**: -144 meV per atom
**V**: 20.91 Å³/atom
**DFT total energy**: -23.5 eV/cell